# FeOsSe2N

A relaxed structure of FeOsSe2N (PBE, Alexandria via LeMat-Bulk).

raw total energy: -6.15 eV/atom
N(E_F): 5.140 states/eV/cell
M_tot: 0.00 μB per formula unit
symmetry: P4/mmm

Cell: 4.773 4.773 3.308 Å, 90.00 90.00 90.00°
Fractional positions:
Os: 0.500 0.500 0.500
Se: 0.000 0.500 0.000
Se: 0.500 0.000 0.000
N: 0.000 0.000 0.500
Fe: 0.000 0.000 0.000